[1]
Crystalline AcPu2Os at its relaxed geometry, computed with PBE-GGA.

```
4
Lattice="-1.6327 -1.5931 4.0460 1.4494 -4.0978 1.6374 4.4318 0.8486 4.7885" Properties=species:S:1:pos:R:3 pbc="T T T"
Os 0.0000 0.0000 0.0000
Ac 2.1243 -2.4212 5.2360
Pu 3.6551 -3.3453 8.1559
Pu 0.5934 -1.4970 2.3161
```

## Properties
ΔE to the lowest computed polymorph	15.6	kJ per mole of atoms
energy of formation from the pure elements	0.23	eV per atom

***

[2]
Crystalline Tc2TePtN at its relaxed geometry, computed with PBE-GGA.

```
5
Lattice="5.2182 0.0000 0.0000 0.0000 3.6451 0.0000 0.0000 0.0000 5.2182" Properties=species:S:1:pos:R:3 pbc="T T T"
Pt 0.0000 0.0000 0.0000
N 0.0000 1.8226 0.0000
Tc 2.6091 0.0000 0.0000
Tc 0.0000 0.0000 2.6091
Te 2.6091 1.8226 2.6091
```

## Properties
uncorrected formation energy	1299.4	meV per atom

***

[3]
Crystalline BaCrTe at its relaxed geometry, computed with PBE-GGA.

```
3
Lattice="4.7947 0.0000 0.0000 -2.3974 4.1524 0.0000 0.0000 0.0000 4.8511" Properties=species:S:1:pos:R:3 pbc="T T T"
Ba 0.0000 0.0000 0.0004
Te 2.3974 1.3841 2.4268
Cr 0.0000 2.7683 2.4239
```

## Properties
uncorrected formation energy	-425.7	meV per atom
ΔE to the lowest computed polymorph	0.0	kJ per mole of atoms

***

[4]
Crystalline Pa3AlGa5 at its relaxed geometry, computed with PBE-GGA.

```
18
Lattice="5.9615 0.0000 0.0000 0.0000 8.5235 0.0000 0.0000 -4.2618 7.3816" Properties=species:S:1:pos:R:3 pbc="T T T"
Pa 1.4904 1.6036 2.7775
Pa 4.4711 3.2072 0.0000
Pa 1.4904 5.3163 0.0000
Pa 4.4711 -1.6036 2.7775
Pa 1.4904 -2.6582 4.6041
Pa 4.4711 2.6582 4.6041
Ga 4.4711 -3.0464 5.2765
Ga 0.0000 4.2618 2.4605
Ga 4.4711 6.0928 0.0000
Ga 2.9807 0.0000 4.9211
Ga 4.4711 1.2153 2.1050
Ga 1.4904 2.4307 0.0000
Ga 1.4904 3.0464 5.2765
Ga 1.4904 -1.2153 2.1050
Ga 0.0000 0.0000 4.9211
Ga 2.9807 4.2618 2.4605
Al 0.0000 0.0000 0.0000
Al 2.9807 0.0000 0.0000
```

## Properties
energy of formation from the pure elements	-0.21	eV per atom

***

[5]
Crystalline Te3PbS7 at its relaxed geometry, computed with PBE-GGA.

```
11
Lattice="-5.7070 -5.5558 1.7554 1.2953 -0.9998 -5.9443 4.9094 -1.8024 3.2651" Properties=species:S:1:pos:R:3 pbc="T T T"
Te 2.0583 -1.1693 -4.0001
Te 4.1464 -1.6330 1.3209
Te -2.8535 -2.7779 0.8777
Pb 0.2489 -4.1791 -0.4619
S -1.4151 -5.4830 -2.9558
S 1.9128 -2.8751 2.0320
S -0.1367 -2.4200 -3.1905
S 3.1024 -1.4011 -1.3396
S 0.8857 -1.3228 -0.4629
S -0.3879 -7.0353 -0.4609
S 0.6345 -5.9381 2.2668
```

## Properties
uncorrected formation energy	144.4	meV per atom

***

[6]
Crystalline CaAcGeO5 at its relaxed geometry, computed with PBE-GGA.

```
16
Lattice="5.9519 -0.1481 0.1316 -1.8791 5.6494 0.1316 -1.5408 -2.0812 8.2090" Properties=species:S:1:pos:R:3 pbc="T T T"
O -0.0187 1.1519 5.0190
O 0.6544 2.0612 7.5577
O -2.2430 1.9235 6.8396
O 1.8776 1.3590 0.9145
O 3.2649 -0.5432 2.7352
O -0.7328 3.9634 5.7370
O -1.2041 4.3442 2.1839
O 2.5507 2.2682 3.4532
O 3.7361 -0.9241 6.2883
O 4.7750 1.4966 1.6326
Ge 3.1094 1.1508 2.1839
Ge -0.5773 2.2693 6.2883
Ac 0.0000 0.0000 0.0000
Ac -0.7704 -1.0406 4.1045
Ca 0.6155 2.9972 2.1839
Ca 1.9166 0.4230 6.2883
```

## Properties
uncorrected formation energy	-2345.4	meV per atom

***

[7]
Crystalline Sr2InSnPd at its relaxed geometry, computed with PBE-GGA.

```
5
Lattice="6.2218 0.0000 0.0000 0.0000 5.3796 0.0000 0.0000 0.0000 6.2218" Properties=species:S:1:pos:R:3 pbc="T T T"
Sr 0.0000 0.0000 3.1109
Sr 3.1109 0.0000 0.0000
Sn 0.0000 2.6898 0.0000
In 0.0000 0.0000 0.0000
Pd 3.1109 2.6898 3.1109
```

## Properties
ΔE to the lowest computed polymorph	70.3	kJ per mole of atoms
energy of formation from the pure elements	0.30	eV per atom

***

[8]
Crystalline KY2As2 at its relaxed geometry, computed with PBE-GGA.

```
5
Lattice="-3.6730 0.0017 -3.4213 3.0589 -2.2468 -3.2850 -2.4604 -7.4296 -1.0445" Properties=species:S:1:pos:R:3 pbc="T T T"
Y -3.2202 -4.2753 -3.9095
Y 0.1457 -5.3995 -3.8413
As -2.1040 -6.6089 -5.1090
As -0.9705 -3.0659 -2.6418
K 0.0000 0.0000 0.0000
```

## Properties
ΔE to the lowest computed polymorph	0.0	kJ per mole of atoms
energy of formation from the pure elements	-0.87	eV per atom

***

[9]
Crystalline LaDy2Cd9 at its relaxed geometry, computed with PBE-GGA.

```
12
Lattice="5.7291 0.0000 1.7051 2.6108 5.0996 1.7051 0.1023 0.0626 10.1337" Properties=species:S:1:pos:R:3 pbc="T T T"
Cd 3.4445 2.1062 4.0082
Cd 5.5442 3.3901 2.3263
Cd 4.9977 3.0559 9.5356
Cd 3.6588 0.4408 8.6613
Cd 6.3825 2.1062 4.8826
Cd 4.2211 2.5811 6.7719
Cd 2.8980 1.7721 11.2175
Cd 2.0597 3.0559 8.6613
Cd 4.7834 4.7214 4.8826
La 0.0000 0.0000 0.0000
Dy 7.1932 4.3984 7.2630
Dy 1.2490 0.7637 6.2808
```

## Properties
energy of formation from the pure elements	-0.25	eV per atom

***

[10]
Crystalline Li2NiOs at its relaxed geometry, computed with PBE-GGA.

```
4
Lattice="-1.3779 -1.0772 3.8671 0.4959 -3.3581 -0.7587 3.2522 0.2055 1.2161" Properties=species:S:1:pos:R:3 pbc="T T T"
Ni -0.4410 -2.2176 1.5542
Li 0.0000 0.0000 0.0000
Li 1.8741 -1.5763 0.2287
Os 0.9372 -0.4358 2.5416
```

## Properties
ΔE to the lowest computed polymorph	27.0	kJ per mole of atoms
energy of formation from the pure elements	0.33	eV per atom

***

[11]
Crystalline V4Ni15Pd at its relaxed geometry, computed with PBE-GGA.

```
20
Lattice="-1.5117 0.2805 3.2293 0.9921 -3.3522 0.7556 15.4301 6.0759 6.6956" Properties=species:S:1:pos:R:3 pbc="T T T"
V 12.3851 4.8768 5.3743
V 9.2584 3.6456 4.0175
V 6.1717 2.4302 2.6781
V 3.0450 1.1990 1.3213
Ni 2.9087 -0.2882 3.3674
Ni 8.2111 1.3618 3.7256
Ni 12.0017 3.2924 7.3131
Ni -0.2598 -1.5358 1.9925
Ni 6.9592 3.1782 4.9624
Ni 10.0057 4.3778 6.2844
Ni 5.1646 0.1622 2.4036
Ni 13.0180 5.5639 7.5915
Ni 8.9806 2.1027 6.0022
Ni 11.2576 2.5614 5.0476
Ni 14.2699 3.7476 6.3547
Ni 3.9127 1.9786 3.6405
Ni 5.9299 0.9015 4.6783
Ni 2.1523 -1.0239 1.0965
Ni 0.9004 0.7924 2.3334
Pd 0.0000 0.0000 0.0000
```

## Properties
energy of formation from the pure elements	-0.16	eV per atom

***

[12]
Crystalline Ac3PmY3Te8 at its relaxed geometry, computed with PBE-GGA.

```
15
Lattice="8.9675 0.0000 0.0000 -4.4837 7.7661 -0.0280 0.0000 -5.1503 7.5562" Properties=species:S:1:pos:R:3 pbc="T T T"
Pm 0.0000 -2.5752 3.7781
Te 4.4837 2.4858 1.9836
Te -2.1465 3.8479 5.5312
Te 4.4837 0.0196 5.4644
Te 0.0000 2.5961 2.0638
Te 6.6303 -1.2322 1.9970
Te 2.1465 3.8479 5.5312
Te 2.3372 -1.2322 1.9970
Te 0.0000 0.1299 5.5446
Ac 2.2419 3.8830 -0.0140
Ac -2.2419 3.8830 -0.0140
Ac 0.0000 0.0000 0.0000
Y -2.2419 1.3079 3.7641
Y 2.2419 1.3079 3.7641
Y 4.4837 -2.5752 3.7781
```

## Properties
uncorrected formation energy	-1451.0	meV per atom